First-principles (GGA-PBE) data for an optimized crystal structure of Ac8IrRh3I3, as listed in Alexandria.

```
Ac8IrRh3I3
1.0
8.753 -0.001 0.001
-4.378 7.580 -0.026
0.002 -5.016 8.679
Ac Ir Rh I
8 1 3 3
direct
0.271 0.543 0.315
0.729 0.457 0.685
0.773 0.546 0.317
0.227 0.454 0.683
0.773 0.043 0.317
0.227 0.957 0.683
0.270 0.043 0.317
0.730 0.957 0.683
0.000 0.000 0.500
0.500 0.000 0.500
0.500 0.500 0.500
0.000 0.500 0.500
0.000 0.000 0.000
0.000 0.500 0.000
0.500 0.500 0.000
```

## Properties
For the formation energy (no corrections), the calculation gives -0.920 eV per atom. The calculation puts the magnetic moment at 0.6 μB per formula unit. Its space group is C2/m, No. 12.

---

First-principles (GGA-PBE) data for an optimized crystal structure of Pu2Pa2CoGe4, as listed in Alexandria.

```
Pu2Pa2CoGe4
1.0
-3.549 4.234 -3.019
-1.415 -5.959 -1.461
-0.835 0.020 6.240
Pu Pa Co Ge
2 2 1 4
direct
0.000 0.683 0.683
0.000 0.317 0.317
0.500 0.750 0.250
0.500 0.250 0.750
0.000 0.000 0.000
0.000 0.762 0.238
0.524 0.762 0.762
0.000 0.238 0.762
0.476 0.238 0.238
```

## Properties
Its energy relative to the elements is -0.250 eV per atom. The calculation puts the magnetic moment at 12.1 μB per formula unit. Its space group is I4/mmm, No. 139.

---

First-principles (GGA-PBE) data for an optimized crystal structure of Rb2PaBiSe5, as listed in Alexandria.

```
Rb2PaBiSe5
1.0
4.438 0.000 0.000
-2.219 9.169 0.000
0.000 0.000 16.013
Rb Pa Bi Se
4 2 2 10
direct
0.854 0.708 0.804
0.093 0.187 0.668
0.146 0.292 0.304
0.907 0.813 0.168
0.783 0.567 0.527
0.217 0.433 0.027
0.531 0.061 0.942
0.469 0.939 0.442
0.359 0.717 0.992
0.688 0.376 0.915
0.495 0.989 0.783
0.276 0.553 0.637
0.932 0.865 0.557
0.641 0.283 0.492
0.312 0.624 0.415
0.505 0.011 0.283
0.724 0.447 0.137
0.068 0.135 0.057
```

## Properties
For the formation energy (no corrections), the calculation gives -1.050 eV per atom. The calculation puts the magnetic moment at 0.0 μB per formula unit. Its space group is Cmc2_1, No. 36.

---

First-principles (GGA-PBE) data for an optimized crystal structure of K2ReNi, as listed in Alexandria.

```
K2ReNi
1.0
3.541 -3.679 2.120
-1.877 -4.778 2.052
0.995 -4.737 -2.672
Re K Ni
1 2 1
direct
0.500 0.500 0.500
0.250 0.250 0.250
0.750 0.750 0.750
0.000 0.000 0.000
```

## Properties
The energy above the most stable polymorph in this dataset is 1.198 eV/atom. Its energy relative to the elements is 1.962 eV per atom. The calculation puts the magnetic moment at 4.9 μB per formula unit. Its space group is Fm-3m, No. 225.

---

First-principles (GGA-PBE) data for an optimized crystal structure of Sn2OF, as listed in Alexandria.

```
Sn2OF
1.0
5.341 -0.135 -0.203
-1.731 5.956 -0.793
-1.731 -3.021 5.194
Sn O F
4 2 2
direct
0.797 0.908 0.153
0.703 0.347 0.592
0.203 0.092 0.847
0.297 0.653 0.408
0.750 0.964 0.536
0.250 0.036 0.464
0.750 0.451 0.049
0.250 0.549 0.951
```

## Properties
The energy above the most stable polymorph in this dataset is 0.000 eV/atom. For the formation energy (no corrections), the calculation gives -1.302 eV per atom. The calculation puts the magnetic moment at 0.0 μB per formula unit. Its space group is C2/c, No. 15.

---

First-principles (GGA-PBE) data for an optimized crystal structure of C3Se, as listed in Alexandria.

```
C3Se
1.0
2.389 0.000 0.000
0.000 3.376 0.118
0.000 3.107 7.261
C Se
3 1
direct
0.000 0.046 0.750
0.500 0.750 0.750
0.000 0.454 0.750
0.500 0.250 0.250
```

## Properties
The energy above the most stable polymorph in this dataset is 0.118 eV/atom. For the formation energy (no corrections), the calculation gives 1.441 eV per atom. The calculation puts the magnetic moment at 0.0 μB per formula unit. Its space group is P2/m, No. 10.

---

First-principles (GGA-PBE) data for an optimized crystal structure of GdTmScAl, as listed in Alexandria.

```
GdTmScAl
1.0
5.215 0.000 0.000
2.608 4.517 0.000
2.608 1.506 4.258
Gd Sc Tm Al
1 1 1 1
direct
0.250 0.250 0.250
0.000 0.000 0.000
0.750 0.750 0.750
0.500 0.500 0.500
```

## Properties
Its energy relative to the elements is -0.112 eV per atom. The calculation puts the magnetic moment at 7.8 μB per formula unit. Its space group is F-43m, No. 216.

---

First-principles (GGA-PBE) data for an optimized crystal structure of TcRhBr2, as listed in Alexandria.

```
TcRhBr2
1.0
7.079 0.051 -0.123
6.351 3.127 -0.123
0.634 0.150 4.500
Rh Tc Br
1 1 2
direct
0.250 0.250 0.250
0.750 0.750 0.750
0.112 0.112 0.953
0.388 0.388 0.547
```

## Properties
The energy above the most stable polymorph in this dataset is 0.202 eV/atom. For the formation energy (no corrections), the calculation gives 0.322 eV per atom. The calculation puts the magnetic moment at 1.1 μB per formula unit. Its space group is C2/m, No. 12.

---

First-principles (GGA-PBE) data for an optimized crystal structure of CoHgAu, as listed in Alexandria.

```
CoHgAu
1.0
-0.188 1.765 -3.958
0.377 -2.513 -3.515
-3.447 -0.717 -2.533
Au Co Hg
1 1 1
direct
0.500 0.500 0.500
0.750 0.750 0.750
0.000 0.000 0.000
```

## Properties
The energy above the most stable polymorph in this dataset is 0.139 eV/atom. Its energy relative to the elements is 0.458 eV per atom. The calculation puts the magnetic moment at 1.6 μB per formula unit. Its space group is F-43m, No. 216.

---

First-principles (GGA-PBE) data for an optimized crystal structure of H2WBr, as listed in Alexandria.

```
H2WBr
1.0
0.000 2.784 2.784
2.784 0.000 2.784
2.784 2.784 0.000
H Br W
2 1 1
direct
0.250 0.250 0.250
0.750 0.750 0.750
0.000 0.000 0.000
0.500 0.500 0.500
```

## Properties
The energy above the most stable polymorph in this dataset is 0.954 eV/atom. The calculation puts the magnetic moment at 0.0 μB per formula unit. Its space group is Fm-3m, No. 225.

---

First-principles (GGA-PBE) data for an optimized crystal structure of TaMnV2, as listed in Alexandria.

```
TaMnV2
1.0
-0.441 2.400 1.720
-1.842 -1.583 1.736
4.836 -1.686 3.593
V Mn Ta
2 1 1
direct
0.000 0.000 0.775
0.000 0.000 0.225
0.500 0.500 0.000
0.500 0.500 0.500
```

## Properties
The energy above the most stable polymorph in this dataset is 0.000 eV/atom. Its energy relative to the elements is -0.079 eV per atom. The calculation puts the magnetic moment at 0.0 μB per formula unit. Its space group is P4/mmm, No. 123.

---

First-principles (GGA-PBE) data for an optimized crystal structure of Cd2InGa2, as listed in Alexandria.

```
Cd2InGa2
1.0
-4.531 -0.813 -7.349
5.455 -6.185 -2.679
-1.765 -2.131 1.324
Cd Ga In
4 4 2
direct
0.354 0.854 0.000
0.854 0.646 0.000
0.646 0.146 0.000
0.146 0.354 0.000
0.151 0.651 0.500
0.651 0.849 0.500
0.849 0.349 0.500
0.349 0.151 0.500
0.000 0.000 0.000
0.500 0.500 0.000
```

## Properties
The energy above the most stable polymorph in this dataset is 0.005 eV/atom. Its energy relative to the elements is 0.071 eV per atom. The calculation puts the magnetic moment at 0.0 μB per formula unit. Its space group is P4/mbm, No. 127.